This record from the Alexandria database describes crystalline Sm5AgBi2 at its relaxed geometry. The functional is PBE. Values from VASP.

M_tot: 0.00 μB per formula unit
Calculated volume: 525 Å³ per cell
Energy of formation from the pure elements: -0.2457 eV per atom

```
&SYSTEM
  ibrav = 0, nat = 16, ntyp = 3
/
ATOMIC_SPECIES
Sm 150.36 Sm.upf
Ag 107.87 Ag.upf
Bi 208.98 Bi.upf
ATOMIC_POSITIONS crystal
Sm 0.068 0.932 0.605
Sm 0.068 0.932 0.895
Sm 0.379 0.621 0.558
Sm 0.379 0.621 0.942
Sm 0.390 0.610 0.250
Sm 0.610 0.390 0.750
Sm 0.621 0.379 0.058
Sm 0.621 0.379 0.442
Sm 0.932 0.068 0.105
Sm 0.932 0.068 0.395
Ag 0.261 0.739 0.750
Ag 0.739 0.261 0.250
Bi 0.198 0.802 0.107
Bi 0.198 0.802 0.393
Bi 0.802 0.198 0.607
Bi 0.802 0.198 0.893
CELL_PARAMETERS angstrom
2.976 -6.120 0.000
2.976 6.120 0.000
0.000 0.000 14.416
```